# 1
The following is a DFT calculation (PBE) of a relaxed Na17In11Sn crystal.

a b c (Å): 10.206 10.206 10.227
angles (deg): 109.44 109.44 109.37
Sites, in units of the cell vectors:
Na  0.000  0.000  0.000
Na  0.000  0.691  0.408
Na  0.001  0.412  0.688
Na  0.001  0.656  0.000
Na  0.002  0.002  0.653
Na  0.280  0.592  0.589
Na  0.313  0.313  0.721
Na  0.314  0.723  0.312
Na  0.349  0.349  0.345
Na  0.412  0.001  0.688
Na  0.413  0.690  0.999
Na  0.592  0.280  0.589
Na  0.594  0.594  0.278
Na  0.656  0.001  0.000
Na  0.690  0.413  0.999
Na  0.691  0.000  0.408
Na  0.723  0.314  0.312
In  0.002  0.373  0.186
In  0.003  0.187  0.371
In  0.185  0.816  0.814
In  0.186  0.371  0.000
In  0.187  0.003  0.371
In  0.371  0.186  0.000
In  0.373  0.002  0.186
In  0.628  0.628  0.812
In  0.633  0.817  0.629
In  0.816  0.185  0.814
In  0.817  0.633  0.629
Sn  0.817  0.817  0.182

Formation energy = -12.3 kJ/mol of atoms
DOS(E_F) = 11.2 states/eV/cell

# 2
The following is a DFT calculation (PBE) of a relaxed Na3In6Sn5 crystal.

a b c (Å): 4.641 14.575 12.117
angles (deg): 90.00 90.00 90.00
Sites, in units of the cell vectors:
Na  0.250  0.058  0.242
Na  0.250  0.442  0.242
Na  0.250  0.750  0.269
Na  0.750  0.250  0.731
Na  0.750  0.558  0.758
Na  0.750  0.942  0.758
In  0.250  0.077  0.612
In  0.250  0.250  0.022
In  0.250  0.250  0.386
In  0.250  0.423  0.612
In  0.250  0.591  0.980
In  0.250  0.909  0.980
In  0.750  0.091  0.020
In  0.750  0.409  0.020
In  0.750  0.577  0.388
In  0.750  0.750  0.614
In  0.750  0.750  0.978
In  0.750  0.923  0.388
Sn  0.250  0.093  0.856
Sn  0.250  0.407  0.856
Sn  0.250  0.622  0.535
Sn  0.250  0.750  0.805
Sn  0.250  0.878  0.535
Sn  0.750  0.122  0.465
Sn  0.750  0.250  0.195
Sn  0.750  0.378  0.465
Sn  0.750  0.593  0.144
Sn  0.750  0.907  0.144

Formation energy = -6.6 kJ/mol of atoms
DOS(E_F) = 9.1 states/eV/cell

# 3
The following is a DFT calculation (PBE) of a relaxed NaIn4Sn2 crystal.

a b c (Å): 11.334 11.334 3.195
angles (deg): 90.00 90.00 152.34
Sites, in units of the cell vectors:
Na  0.000  0.000  0.000
In  0.144  0.856  0.500
In  0.288  0.712  0.000
In  0.712  0.288  0.000
In  0.856  0.144  0.500
Sn  0.430  0.570  0.500
Sn  0.570  0.430  0.500

Formation energy = -3.9 kJ/mol of atoms
DOS(E_F) = 1.8 states/eV/cell